# CaTeHN2, relaxed, DFT PBE
data_CaTeHN2
_symmetry_space_group_name_H-M 'P 1'
_symmetry_Int_Tables_number 1
_cell_length_a 4.6319
_cell_length_b 4.6319
_cell_length_c 6.4842
_cell_angle_alpha 90.00
_cell_angle_beta 90.00
_cell_angle_gamma 90.00
loop_
_symmetry_equiv_pos_as_xyz
'x,y,z'
loop_
_atom_site_label
_atom_site_fract_x
_atom_site_fract_y
_atom_site_fract_z
_atom_site_occupancy
Ca1 0.0000 0.0000 0.0000 1
N1 0.5000 0.0000 0.0000 1
N2 0.0000 0.5000 0.0000 1
Te1 0.0000 0.0000 0.5000 1
H1 0.5000 0.5000 0.5000 1
# Space group: P4/mmm (123)
# Energy relative to the lowest polymorph listed for this composition, meV/atom: 683

# CaTiHN2, relaxed, DFT PBE
data_CaTiHN2
_symmetry_space_group_name_H-M 'P 1'
_symmetry_Int_Tables_number 1
_cell_length_a 4.1641
_cell_length_b 4.1641
_cell_length_c 5.9288
_cell_angle_alpha 90.00
_cell_angle_beta 90.00
_cell_angle_gamma 90.00
loop_
_symmetry_equiv_pos_as_xyz
'x,y,z'
loop_
_atom_site_label
_atom_site_fract_x
_atom_site_fract_y
_atom_site_fract_z
_atom_site_occupancy
Ca1 0.0000 0.0000 0.0000 1
N1 0.0000 0.5000 0.0000 1
N2 0.5000 0.0000 0.0000 1
H1 0.5000 0.5000 0.5000 1
Ti1 0.0000 0.0000 0.5000 1
# Space group: P4/mmm (123)
# Electronic total energy, eV per formula unit: -18.5

# CaVH2N, relaxed, DFT PBE
data_CaVH2N
_symmetry_space_group_name_H-M 'P 1'
_symmetry_Int_Tables_number 1
_cell_length_a 3.6443
_cell_length_b 3.6443
_cell_length_c 3.8208
_cell_angle_alpha 90.00
_cell_angle_beta 90.00
_cell_angle_gamma 90.00
loop_
_symmetry_equiv_pos_as_xyz
'x,y,z'
loop_
_atom_site_label
_atom_site_fract_x
_atom_site_fract_y
_atom_site_fract_z
_atom_site_occupancy
V1 0.0000 0.0000 0.0000 1
Ca1 0.5000 0.5000 0.5000 1
H1 0.5000 0.0000 0.0000 1
H2 0.0000 0.5000 0.0000 1
N1 0.0000 0.0000 0.5000 1
# Space group: P4/mmm (123)
# Electronic total energy, eV per formula unit: -29.4